Record 1
Computed, not measured: a geometry-optimized Li2Hg structure at the GGA-PBE level of DFT.

## Properties
Its space group is Fm-3m (225). The theoretical density comes out at 5588 kg/m³. The value obtained for the total energy is -1.524 eV/atom.

Lattice parameters (Å, degrees): 4.484 4.484 4.484 60.00 60.00 60.00
Atoms (fractional coordinates):
Hg 0.000 0.000 0.000
Li 0.250 0.250 0.250
Li 0.750 0.750 0.750

Record 2
Computed, not measured: a geometry-optimized ErZnInO3 structure at the GGA-PBE level of DFT.

## Properties
Its space group is Cmcm (63). For the magnetization, the calculation gives 0.00 μB/f.u. The theoretical density comes out at 7556 kg/m³. The value obtained for the total energy is -5.221 eV/atom.

Lattice parameters (Å, degrees): 8.522 8.522 6.613 90.00 90.00 21.22
Atoms (fractional coordinates):
Er 0.000 0.000 0.000
Er 0.000 0.000 0.500
In 0.316 0.316 0.250
In 0.684 0.684 0.750
O 0.876 0.876 0.041
O 0.734 0.734 0.250
O 0.876 0.876 0.459
O 0.124 0.124 0.541
O 0.266 0.266 0.750
O 0.124 0.124 0.959
Zn 0.624 0.624 0.250
Zn 0.376 0.376 0.750

Record 3
Computed, not measured: a geometry-optimized YCdAgPd structure at the GGA-PBE level of DFT.

## Properties
As for the formation energy: -0.3574 eV per atom. Its space group is F-43m (216). For the magnetization, the calculation gives 0.00 μB/f.u. The theoretical density comes out at 8413 kg/m³. The value obtained for the total energy is -4.197 eV/atom.

Lattice parameters (Å, degrees): 4.877 4.877 4.877 60.00 60.00 60.00
Atoms (fractional coordinates):
Ag 0.500 0.500 0.500
Cd 0.000 0.000 0.000
Pd 0.250 0.250 0.250
Y 0.750 0.750 0.750

Record 4
Computed, not measured: a geometry-optimized SrTePdO structure at the GGA-PBE level of DFT.

## Properties
Its space group is P4/nmm (129). The theoretical density comes out at 6573 kg/m³. The value obtained for the total energy is -5.008 eV/atom.

Lattice parameters (Å, degrees): 3.864 3.864 11.426 90.00 90.00 90.00
Atoms (fractional coordinates):
O 0.250 0.250 0.406
O 0.750 0.750 0.594
Pd 0.750 0.250 0.000
Pd 0.250 0.750 0.000
Sr 0.750 0.750 0.387
Sr 0.250 0.250 0.613
Te 0.250 0.250 0.164
Te 0.750 0.750 0.836

Record 5
Computed, not measured: a geometry-optimized LiTaReBi structure at the GGA-PBE level of DFT.

## Properties
Its space group is F-43m (216). For the magnetization, the calculation gives 0.02 μB/f.u. The theoretical density comes out at 13887 kg/m³. The value obtained for the total energy is -6.679 eV/atom.

Lattice parameters (Å, degrees): 4.620 4.620 4.620 60.00 60.00 60.00
Atoms (fractional coordinates):
Bi 0.250 0.250 0.250
Li 0.750 0.750 0.750
Re 0.500 0.500 0.500
Ta 0.000 0.000 0.000

Record 6
Computed, not measured: a geometry-optimized RbTbGdTe3 structure at the GGA-PBE level of DFT.

## Properties
Its space group is Cmcm (63). For the magnetization, the calculation gives 0.27 μB/f.u. The theoretical density comes out at 5448 kg/m³. The value obtained for the total energy is -4.493 eV/atom.

Lattice parameters (Å, degrees): 8.753 8.753 11.849 90.00 90.00 148.22
Atoms (fractional coordinates):
Gd 0.532 0.468 0.250
Gd 0.468 0.532 0.750
Rb 0.255 0.745 0.250
Rb 0.745 0.255 0.750
Tb 0.000 0.000 0.000
Tb 0.000 0.000 0.500
Te 0.624 0.376 0.040
Te 0.928 0.072 0.250
Te 0.624 0.376 0.460
Te 0.376 0.624 0.540
Te 0.072 0.928 0.750
Te 0.376 0.624 0.960

Record 7
Computed, not measured: a geometry-optimized ErTc2 structure at the GGA-PBE level of DFT.

## Properties
As for the formation energy: -0.1892 eV per atom. Its space group is Fd-3m (227). For the magnetization, the calculation gives 0.00 μB/f.u. The theoretical density comes out at 11037 kg/m³. The value obtained for the total energy is -8.617 eV/atom.

Lattice parameters (Å, degrees): 5.367 5.367 5.367 60.00 60.00 60.00
Atoms (fractional coordinates):
Er 0.000 0.000 0.000
Er 0.250 0.250 0.250
Tc 0.625 0.625 0.125
Tc 0.625 0.125 0.625
Tc 0.125 0.625 0.625
Tc 0.625 0.625 0.625

Record 8
Computed, not measured: a geometry-optimized La2CdAs2IrO2 structure at the GGA-PBE level of DFT.

## Properties
Its space group is P-4m2 (115). For the magnetization, the calculation gives 0.03 μB/f.u. The theoretical density comes out at 8294 kg/m³. The value obtained for the total energy is -6.543 eV/atom.

Lattice parameters (Å, degrees): 4.159 4.159 8.845 90.00 90.00 90.00
Atoms (fractional coordinates):
As 0.500 0.000 0.181
As 0.000 0.500 0.819
Cd 0.000 0.000 0.000
Ir 0.500 0.500 0.000
La 0.000 0.500 0.366
La 0.500 0.000 0.634
O 0.000 0.000 0.500
O 0.500 0.500 0.500

Record 9
Computed, not measured: a geometry-optimized PmPtNO structure at the GGA-PBE level of DFT.

## Properties
Its space group is Pmc2_1 (26). For the magnetization, the calculation gives 0.00 μB/f.u. The theoretical density comes out at 10069 kg/m³. The value obtained for the total energy is -7.163 eV/atom.

Lattice parameters (Å, degrees): 3.660 5.706 5.845 90.00 90.00 90.00
Atoms (fractional coordinates):
N 0.000 0.975 0.399
N 0.000 0.475 0.601
O 0.500 0.275 0.009
O 0.500 0.775 0.991
Pm 0.000 0.527 0.155
Pm 0.000 0.027 0.845
Pt 0.500 0.977 0.418
Pt 0.500 0.477 0.582

Record 10
Computed, not measured: a geometry-optimized CsHoBeTe3 structure at the GGA-PBE level of DFT.

## Properties
Its space group is Cmcm (63). For the magnetization, the calculation gives 0.00 μB/f.u. The theoretical density comes out at 5322 kg/m³. The value obtained for the total energy is -4.130 eV/atom.

Lattice parameters (Å, degrees): 8.872 8.872 11.623 90.00 90.00 151.94
Atoms (fractional coordinates):
Be 0.537 0.463 0.250
Be 0.463 0.537 0.750
Cs 0.261 0.739 0.250
Cs 0.739 0.261 0.750
Ho 0.000 0.000 0.000
Ho 0.000 0.000 0.500
Te 0.617 0.383 0.073
Te 0.948 0.052 0.250
Te 0.617 0.383 0.427
Te 0.383 0.617 0.573
Te 0.052 0.948 0.750
Te 0.383 0.617 0.927

Record 11
Computed, not measured: a geometry-optimized PmO2 structure at the GGA-PBE level of DFT.

## Properties
Its space group is Fd-3m (227). For the magnetization, the calculation gives 1.14 μB/f.u. The theoretical density comes out at 8162 kg/m³. The value obtained for the total energy is -5.591 eV/atom.

Lattice parameters (Å, degrees): 4.670 4.670 4.670 60.00 60.00 60.00
Atoms (fractional coordinates):
O 0.625 0.625 0.125
O 0.625 0.125 0.625
O 0.125 0.625 0.625
O 0.625 0.625 0.625
Pm 0.000 0.000 0.000
Pm 0.250 0.250 0.250

Record 12
Computed, not measured: a geometry-optimized Rb2NbTlCl6 structure at the GGA-PBE level of DFT.

## Properties
Its space group is I4/m (87). For the magnetization, the calculation gives 2.00 μB/f.u. The theoretical density comes out at 3523 kg/m³. The value obtained for the total energy is -3.993 eV/atom.

Lattice parameters (Å, degrees): 7.761 7.761 7.761 121.82 121.82 86.88
Atoms (fractional coordinates):
Cl 0.224 0.224 0.000
Cl 0.776 0.776 0.000
Cl 0.300 0.861 0.161
Cl 0.139 0.300 0.439
Cl 0.861 0.700 0.561
Cl 0.700 0.139 0.839
Nb 0.000 0.000 0.000
Rb 0.750 0.250 0.500
Rb 0.250 0.750 0.500
Tl 0.500 0.500 0.000

Record 13
Computed, not measured: a geometry-optimized CdGaRe2 structure at the GGA-PBE level of DFT.

## Properties
Its space group is F-43m (216). For the magnetization, the calculation gives 0.00 μB/f.u. The theoretical density comes out at 14499 kg/m³. The value obtained for the total energy is -6.652 eV/atom.

Lattice parameters (Å, degrees): 4.478 4.478 4.478 60.00 60.00 60.00
Atoms (fractional coordinates):
Cd 0.250 0.250 0.250
Ga 0.500 0.500 0.500
Re 0.000 0.000 0.000
Re 0.750 0.750 0.750

Record 14
Computed, not measured: a geometry-optimized TaAs2O structure at the GGA-PBE level of DFT.

## Properties
Its space group is Pmc2_1 (26). For the magnetization, the calculation gives 0.00 μB/f.u. The theoretical density comes out at 7205 kg/m³. The value obtained for the total energy is -7.384 eV/atom.

Lattice parameters (Å, degrees): 3.409 6.494 7.220 90.00 90.00 90.00
Atoms (fractional coordinates):
As 0.500 0.790 0.078
As 0.500 0.816 0.415
As 0.500 0.210 0.578
As 0.500 0.184 0.915
O 0.000 0.388 0.256
O 0.000 0.612 0.756
Ta 0.000 0.478 0.004
Ta 0.000 0.522 0.504

Record 15
Computed, not measured: a geometry-optimized PaBeSn structure at the GGA-PBE level of DFT.

## Properties
Its space group is F-43m (216). For the magnetization, the calculation gives 0.92 μB/f.u. The theoretical density comes out at 7369 kg/m³. The value obtained for the total energy is -4.941 eV/atom.

Lattice parameters (Å, degrees): 4.853 4.853 4.853 60.00 60.00 60.00
Atoms (fractional coordinates):
Be 0.250 0.250 0.250
Pa 0.000 0.000 0.000
Sn 0.750 0.750 0.750

Record 16
Computed, not measured: a geometry-optimized LuTlCoIr structure at the GGA-PBE level of DFT.

## Properties
Its space group is F-43m (216). For the magnetization, the calculation gives 0.08 μB/f.u. The theoretical density comes out at 14853 kg/m³. The value obtained for the total energy is -5.846 eV/atom.

Lattice parameters (Å, degrees): 4.637 4.637 4.637 60.00 60.00 60.00
Atoms (fractional coordinates):
Co 0.750 0.750 0.750
Ir 0.250 0.250 0.250
Lu 0.500 0.500 0.500
Tl 0.000 0.000 0.000

Record 17
Computed, not measured: a geometry-optimized YHo2Al3AgPt2 structure at the GGA-PBE level of DFT.

## Properties
Its space group is Amm2 (38). For the magnetization, the calculation gives 0.00 μB/f.u. The theoretical density comes out at 9101 kg/m³. The value obtained for the total energy is -5.522 eV/atom.

Lattice parameters (Å, degrees): 3.905 7.342 7.342 120.14 90.00 90.00
Atoms (fractional coordinates):
Ag 0.000 0.002 0.002
Al 0.500 0.258 0.258
Al 0.500 0.000 0.742
Al 0.500 0.742 0.000
Ho 0.000 0.999 0.415
Ho 0.000 0.415 0.999
Pt 0.500 0.667 0.330
Pt 0.500 0.330 0.667
Y 0.000 0.585 0.585

Record 18
Computed, not measured: a geometry-optimized PrNd2As3 structure at the GGA-PBE level of DFT.

## Properties
Its space group is P-3m1 (164). For the magnetization, the calculation gives 0.00 μB/f.u. The theoretical density comes out at 6521 kg/m³. The value obtained for the total energy is -6.219 eV/atom.

Lattice parameters (Å, degrees): 4.280 4.280 10.499 90.00 90.00 120.00
Atoms (fractional coordinates):
As 0.000 0.000 0.000
As 0.333 0.667 0.332
As 0.667 0.333 0.668
Nd 0.667 0.333 0.166
Nd 0.333 0.667 0.834
Pr 0.000 0.000 0.500

Record 19
Computed, not measured: a geometry-optimized HoHgAu structure at the GGA-PBE level of DFT.

## Properties
As for the formation energy: -0.6615 eV per atom. Its space group is P6_3/mmc (194). For the magnetization, the calculation gives 0.00 μB/f.u. The theoretical density comes out at 13829 kg/m³. The value obtained for the total energy is -3.375 eV/atom.

Lattice parameters (Å, degrees): 5.058 5.058 6.098 90.00 90.00 120.02
Atoms (fractional coordinates):
Au 0.167 0.833 0.250
Au 0.833 0.167 0.750
Hg 0.500 0.500 0.000
Hg 0.500 0.500 0.500
Ho 0.833 0.167 0.250
Ho 0.167 0.833 0.750

Record 20
Computed, not measured: a geometry-optimized PmReB4 structure at the GGA-PBE level of DFT.

## Properties
Its space group is Immm (71). For the magnetization, the calculation gives 0.00 μB/f.u. The theoretical density comes out at 9860 kg/m³. The value obtained for the total energy is -7.375 eV/atom.

Lattice parameters (Å, degrees): 4.819 4.819 4.819 141.51 111.16 81.74
Atoms (fractional coordinates):
B 0.592 0.254 0.338
B 0.084 0.746 0.338
B 0.916 0.254 0.662
B 0.408 0.746 0.662
Pm 0.500 0.500 0.000
Re 0.000 0.000 0.000